Na3Pu3NiSe8 | GGA-PBE | relaxed

a = 8.1382 Å, b = 8.1382 Å, c = 21.0653 Å
α = 90.00°, β = 90.00°, γ = 120.00°
Space group R-3m (No. 166, hexagonal axes)
Asymmetric unit:
Na1 0.0000 0.5000 0.0000 x9
Pu1 0.0000 0.5000 0.5000 x9
Ni1 0.0000 0.0000 0.5000 x3
Se1 0.0000 0.0000 0.2442 x6
Se2 0.0308 0.5154 0.2358 x18

Computed properties:
Uncorrected formation energy in eV per atom: -1.105